Record 1
First-principles (PBE-GGA) data for Gd2TcCl after structural relaxation, as listed in Alexandria via LeMat-Bulk.

Values from the calculation:
- space group = No. 123
- magnetization (μB per cell) = 14.156
- energy relative to the lowest polymorph listed for this composition (meV per atom) = 0
- formation energy (no corrections) (eV/f.u.) = -2.918

a b c (Å): 3.429 3.429 7.857
angles (deg): 90.00 90.00 90.00
Fractional positions:
Gd  0.000  0.000  0.213
Gd  0.000  0.000  0.787
Tc  0.500  0.500  0.000
Cl  0.500  0.500  0.500


Record 2
First-principles (PBE-GGA) data for AcMnSb2 after structural relaxation, as listed in Alexandria via LeMat-Bulk.

Values from the calculation:
- space group = No. 123
- magnetization (μB per cell) = 4.485
- energy relative to the lowest polymorph listed for this composition (meV per atom) = 147
- formation energy (no corrections) (eV/f.u.) = -0.946

a b c (Å): 4.978 4.978 4.523
angles (deg): 90.00 90.00 90.00
Fractional positions:
Ac  0.000  0.000  0.000
Mn  0.500  0.500  0.000
Sb  0.000  0.500  0.500
Sb  0.500  0.000  0.500


Record 3
First-principles (PBE-GGA) data for Ce3AlCu2Si6 after structural relaxation, as listed in Alexandria via LeMat-Bulk.

Values from the calculation:
- space group = No. 164
- magnetization (μB per cell) = 0.274
- formation energy (no corrections) (eV/f.u.) = -2.975

a b c (Å): 5.750 5.750 8.126
angles (deg): 90.00 90.00 120.00
Fractional positions:
Ce  0.000  0.000  0.000
Ce  0.333  0.667  0.624
Ce  0.667  0.333  0.376
Al  0.000  0.000  0.500
Cu  0.333  0.667  0.030
Cu  0.667  0.333  0.970
Si  0.192  0.383  0.282
Si  0.192  0.808  0.282
Si  0.383  0.192  0.718
Si  0.617  0.808  0.282
Si  0.808  0.192  0.718
Si  0.808  0.617  0.718


Record 4
First-principles (PBE-GGA) data for LiErMgGe after structural relaxation, as listed in Alexandria via LeMat-Bulk.

Values from the calculation:
- space group = No. 216
- calculated formation energy (kcal/mol of atoms) = -6.503
- magnetization (μB per cell) = 0.000

a b c (Å): 4.848 4.848 4.848
angles (deg): 60.00 60.00 60.00
Fractional positions:
Li  0.000  0.000  0.000
Er  0.750  0.750  0.750
Mg  0.250  0.250  0.250
Ge  0.500  0.500  0.500


Record 5
First-principles (PBE-GGA) data for V2Os2Rh after structural relaxation, as listed in Alexandria via LeMat-Bulk.

Values from the calculation:
- space group = No. 127
- calculated formation energy (kcal/mol of atoms) = 0.071
- magnetization (μB per cell) = 0.000

a b c (Å): 7.144 7.144 2.861
angles (deg): 90.00 90.00 90.00
Fractional positions:
V  0.163  0.337  0.000
V  0.337  0.837  0.000
V  0.663  0.163  0.000
V  0.837  0.663  0.000
Os  0.136  0.636  0.500
Os  0.364  0.136  0.500
Os  0.636  0.864  0.500
Os  0.864  0.364  0.500
Rh  0.000  0.000  0.500
Rh  0.500  0.500  0.500


Record 6
First-principles (PBE-GGA) data for K3In2GaBr6 after structural relaxation, as listed in Alexandria via LeMat-Bulk.

Values from the calculation:
- space group = No. 12
- magnetization (μB per cell) = 0.000
- formation energy (no corrections) (eV/f.u.) = -14.033

a b c (Å): 10.513 10.513 9.409
angles (deg): 102.75 102.75 25.86
Fractional positions:
K  0.000  0.000  0.000
K  0.333  0.333  0.668
K  0.667  0.667  0.332
In  0.335  0.335  0.171
In  0.665  0.665  0.829
Ga  0.000  0.000  0.500
Br  0.163  0.163  0.577
Br  0.165  0.165  0.084
Br  0.500  0.500  0.260
Br  0.500  0.500  0.740
Br  0.835  0.835  0.916
Br  0.837  0.837  0.423


Record 7
First-principles (PBE-GGA) data for InTeCl after structural relaxation, as listed in Alexandria via LeMat-Bulk.

Values from the calculation:
- space group = No. 14
- magnetization (μB per cell) = 0.000
- formation energy (no corrections) (eV/f.u.) = -2.009

a b c (Å): 7.796 14.419 7.353
angles (deg): 90.00 92.35 90.00
Fractional positions:
In  0.174  0.190  0.372
In  0.174  0.310  0.872
In  0.201  0.023  0.869
In  0.201  0.477  0.369
In  0.799  0.523  0.631
In  0.799  0.977  0.131
In  0.826  0.690  0.128
In  0.826  0.810  0.628
Te  0.151  0.004  0.253
Te  0.151  0.496  0.753
Te  0.379  0.173  0.715
Te  0.379  0.327  0.215
Te  0.621  0.673  0.785
Te  0.621  0.827  0.285
Te  0.849  0.504  0.247
Te  0.849  0.996  0.747
Cl  0.071  0.735  0.495
Cl  0.071  0.765  0.995
Cl  0.397  0.599  0.286
Cl  0.397  0.901  0.786
Cl  0.603  0.099  0.214
Cl  0.603  0.401  0.714
Cl  0.929  0.235  0.005
Cl  0.929  0.265  0.505


Record 8
First-principles (PBE-GGA) data for PdAuN3 after structural relaxation, as listed in Alexandria via LeMat-Bulk.

Values from the calculation:
- space group = No. 221
- magnetization (μB per cell) = 4.357
- formation energy (no corrections) (eV/f.u.) = 12.894

a b c (Å): 4.062 4.062 4.062
angles (deg): 90.00 90.00 90.00
Fractional positions:
Pd  0.000  0.000  0.000
Au  0.500  0.500  0.500
N  0.000  0.500  0.500
N  0.500  0.000  0.500
N  0.500  0.500  0.000


Record 9
First-principles (PBE-GGA) data for Cs2GeF5 after structural relaxation, as listed in Alexandria via LeMat-Bulk.

Values from the calculation:
- space group = No. 107
- magnetization (μB per cell) = 1.002
- formation energy (no corrections) (eV/f.u.) = -19.806

a b c (Å): 6.237 6.237 6.237
angles (deg): 123.03 123.03 84.82
Fractional positions:
Cs  0.000  0.500  0.500
Cs  0.500  0.000  0.500
Ge  0.256  0.256  0.000
F  0.024  0.024  0.546
F  0.024  0.478  0.000
F  0.055  0.055  0.000
F  0.478  0.024  0.000
F  0.478  0.478  0.454


Record 10
First-principles (PBE-GGA) data for KLi2PbCl8 after structural relaxation, as listed in Alexandria via LeMat-Bulk.

Values from the calculation:
- space group = No. 2
- magnetization (μB per cell) = 0.228
- formation energy (no corrections) (eV/f.u.) = -13.424

a b c (Å): 5.671 6.436 9.126
angles (deg): 93.12 103.93 90.50
Fractional positions:
K  0.000  0.000  0.000
Li  0.463  0.466  0.294
Li  0.537  0.534  0.706
Pb  0.000  0.000  0.500
Cl  0.175  0.804  0.305
Cl  0.258  0.336  0.490
Cl  0.263  0.491  0.018
Cl  0.313  0.864  0.733
Cl  0.687  0.136  0.267
Cl  0.737  0.509  0.982
Cl  0.742  0.664  0.510
Cl  0.825  0.196  0.695


Record 11
First-principles (PBE-GGA) data for Sm6ZnCu2 after structural relaxation, as listed in Alexandria via LeMat-Bulk.

Values from the calculation:
- space group = No. 71
- calculated formation energy (kcal/mol of atoms) = -2.963
- magnetization (μB per cell) = 0.000

a b c (Å): 8.590 8.590 8.590
angles (deg): 111.72 109.50 107.22
Fractional positions:
Sm  0.057  0.246  0.811
Sm  0.178  0.273  0.451
Sm  0.178  0.727  0.905
Sm  0.324  0.022  0.698
Sm  0.324  0.626  0.302
Sm  0.436  0.246  0.189
Sm  0.564  0.754  0.811
Sm  0.676  0.374  0.698
Sm  0.676  0.978  0.302
Sm  0.822  0.273  0.095
Sm  0.822  0.727  0.549
Sm  0.943  0.754  0.189
Zn  0.000  0.000  0.000
Zn  0.500  0.500  0.000
Cu  0.119  0.619  0.500
Cu  0.347  0.000  0.347
Cu  0.653  0.000  0.653
Cu  0.881  0.381  0.500


Record 12
First-principles (PBE-GGA) data for Sr5U5O18 after structural relaxation, as listed in Alexandria via LeMat-Bulk.

Values from the calculation:
- space group = No. 2
- magnetization (μB per cell) = 4.009
- formation energy (no corrections) (eV/f.u.) = -91.621

a b c (Å): 6.983 7.809 8.772
angles (deg): 100.80 98.14 107.44
Fractional positions:
Sr  0.000  0.000  0.000
Sr  0.199  0.396  0.416
Sr  0.401  0.802  0.807
Sr  0.599  0.198  0.193
Sr  0.801  0.604  0.584
U  0.000  0.500  0.000
U  0.208  0.920  0.412
U  0.378  0.300  0.804
U  0.622  0.700  0.196
U  0.792  0.080  0.588
O  0.012  0.732  0.180
O  0.023  0.674  0.853
O  0.140  0.148  0.585
O  0.173  0.718  0.530
O  0.248  0.107  0.282
O  0.334  0.102  0.927
O  0.336  0.557  0.009
O  0.453  0.497  0.684
O  0.494  0.887  0.350
O  0.506  0.113  0.650
O  0.547  0.503  0.316
O  0.664  0.443  0.991
O  0.666  0.898  0.073
O  0.752  0.893  0.718
O  0.827  0.282  0.470
O  0.860  0.852  0.415
O  0.977  0.326  0.147
O  0.988  0.268  0.820